(1)
Er4B2PbS PBE-GGA optimized geometry; magnetization = 0.00 μB/atom; raw total energy = -5.5525 eV per atom
1.0
3.6784 0.0000 0.0000
-1.8392 3.1856 0.0000
0.0000 0.0000 14.9996
Er B Pb S
4 2 1 1
Direct
0.0000 0.0000 0.1223
0.0000 0.0000 0.8777
0.3333 0.6667 0.3214
0.3333 0.6667 0.6786
0.6667 0.3333 0.2238
0.6667 0.3333 0.7762
0.0000 0.0000 0.5000
0.3333 0.6667 0.0000

---

(2)
SrLaAgO3 PBE-GGA optimized geometry; magnetization = 0.00 μB/atom; raw total energy = -6.3269 eV per atom
1.0
1.9475 -6.4738 0.0000
1.9475 6.4738 0.0000
0.0000 0.0000 8.8153
Sr La Ag O
2 2 2 6
Direct
0.1791 0.8209 0.7500
0.8209 0.1791 0.2500
0.5000 0.5000 0.0000
0.5000 0.5000 0.5000
0.1224 0.8776 0.2500
0.8776 0.1224 0.7500
0.1184 0.8816 0.0191
0.1184 0.8816 0.4809
0.4302 0.5698 0.2500
0.5698 0.4302 0.7500
0.8816 0.1184 0.5191
0.8816 0.1184 0.9809